## AcMgCdHg6 (PBE-GGA)

Data for an optimized crystal structure of AcMgCdHg6.

Output
Raw total energy = -1.01 eV per atom
M_tot = 0.0 μB/cell
ΔE_f = -0.069 eV per atom
Volume = 1086.5 Å³/cell

Unit cell a=6.5830 b=11.0033 c=14.9992 alpha=90.00 beta=90.00 gamma=90.00
Closest atoms and distances in Å follow each position.
Space group Imma (No. 74)
Unique sites:
Ac1 0.0000 0.2500 0.1589 x4  8 Hg 3.28-3.63
Mg1 0.0000 0.0000 0.5000 x4  6 Hg 2.80-3.13
Cd1 0.2500 0.2500 0.7500 x4  6 Hg 2.98-3.29, 2 Cd 3.29
Hg1 0.0000 0.2500 0.4008 x4  2 Mg 3.13, 2 Ac 3.41, 4 Hg 3.47
Hg2 0.0000 0.2500 0.9400 x4  1 Ac 3.28, 2 Cd 3.29, 4 Hg 3.31
Hg3 0.2443 0.0170 0.8512 x16  1 Mg 2.80, 1 Cd 2.98, 1 Hg 3.04


## AcMg3CdHg (PBE-GGA)

Data for an optimized crystal structure of AcMg3CdHg.

Output
Raw total energy = -1.79 eV per atom
M_tot = 0.0 μB/cell
ΔE_f = -0.104 eV per atom
Volume = 669.0 Å³/cell

Unit cell a=7.2383 b=14.4326 c=6.4036 alpha=90.00 beta=90.00 gamma=90.00
Closest atoms and distances in Å follow each position.
Space group Cmcm (No. 63)
Unique sites:
Ac1 0.0000 0.2094 0.2500 x4  1 Cd 3.20, 2 Hg 3.31
Mg1 0.0000 0.3618 0.7500 x4  1 Cd 2.99, 1 Hg 3.05
Mg2 0.2012 0.0000 0.0000 x8  2 Cd 2.87, 3 Mg 2.91-3.20, 2 Hg 3.06
Cd1 0.0000 0.4313 0.2500 x4  5 Mg 2.87-2.99, 1 Ac 3.20
Hg1 0.0000 0.1502 0.7500 x4  5 Mg 3.05-3.06, 2 Ac 3.31